i) VASP calculation (GGA-PBE) on a geometry-optimized AcLa2Ho structure.

a = 3.7931 Å, b = 3.7931 Å, c = 10.4149 Å
α = 90.00°, β = 90.00°, γ = 90.00°
Last column: nearest neighbours and their distance in Å.
Fractional positions:
Ac: 0.5000 0.5000 0.5000  4 Ac 3.79, 8 La 3.85
Ho: 0.5000 0.5000 0.0000  8 La 3.63, 4 Ho 3.79
La: 0.0000 0.0000 0.7656  4 Ho 3.63, 4 La 3.79, 4 Ac 3.85
La: 0.0000 0.0000 0.2344  4 Ho 3.63, 4 La 3.79, 4 Ac 3.85

Computed properties:
Spin magnetization, μB per formula unit: 0.00
Density, g/cm³: 7.422
Volume, A^3/atom: 37.462

***

ii) VASP calculation (GGA-PBE) on a geometry-optimized AcLa2Ho structure.

a = 5.9953 Å, b = 5.9953 Å, c = 5.9953 Å
α = 60.00°, β = 60.00°, γ = 60.00°
Last column: nearest neighbours and their distance in Å.
Fractional positions:
Ac: 0.0000 0.0000 0.0000  8 La 3.67
Ho: 0.5000 0.5000 0.5000  8 La 3.67
La: 0.2500 0.2500 0.2500  4 Ac 3.67, 4 Ho 3.67
La: 0.7500 0.7500 0.7500  4 Ac 3.67, 4 Ho 3.67

Computed properties:
Spin magnetization, μB per formula unit: 1.03
Density, g/cm³: 7.298
Volume, A^3/atom: 38.095

***

Energy comparison, zero being the most stable, in meV/atom: i) 0; ii) 119.

***

i) VASP calculation (GGA-PBE) on a geometry-optimized AcLa7Ho2 structure.

a = 5.9545 Å, b = 9.2651 Å, c = 9.2651 Å
α = 120.64°, β = 90.00°, γ = 90.00°
Last column: nearest neighbours and their distance in Å.
Fractional positions:
Ac: 0.0000 0.0000 0.0000  10 La 3.92-3.96
La: 0.0000 0.7537 0.2463  2 Ho 3.09
La: 0.0000 0.2463 0.7537  2 Ho 3.09
La: 0.5000 0.0637 0.3027  2 Ho 3.20-3.32, 2 La 3.36-3.49
La: 0.5000 0.9363 0.6973  2 Ho 3.20-3.32, 2 La 3.36-3.49
La: 0.5000 0.3027 0.0637  2 Ho 3.20-3.32, 2 La 3.36-3.49
La: 0.5000 0.6973 0.9363  2 Ho 3.20-3.32, 2 La 3.36-3.49
La: 0.5000 0.5000 0.5000  2 Ho 3.26, 4 La 3.49
Ho: 0.5000 0.7024 0.2976  7 La 3.09-3.32
Ho: 0.5000 0.2976 0.7024  7 La 3.09-3.32

Computed properties:
Spin magnetization, μB per formula unit: 0.00
Density, g/cm³: 5.774
Volume, A^3/atom: 43.978

***

ii) VASP calculation (GGA-PBE) on a geometry-optimized AcLa7Ho2 structure.

a = 5.7221 Å, b = 7.8456 Å, c = 9.6966 Å
α = 113.76°, β = 107.20°, γ = 90.00°
Last column: nearest neighbours and their distance in Å.
Fractional positions:
Ac: 0.0000 0.0000 0.0000  2 Ho 3.59, 8 La 3.93-3.94
La: 0.1559 0.6573 0.3119  3 Ho 3.60-4.03, 8 La 3.73-3.91
La: 0.8441 0.3427 0.6881  3 Ho 3.60-4.03, 8 La 3.73-3.91
La: 0.3689 0.6680 0.7376  2 La 3.14-3.22, 1 Ho 3.51
La: 0.6311 0.3320 0.2624  2 La 3.14-3.22, 1 Ho 3.51
La: 0.6306 0.9317 0.2614  2 La 3.14-3.23
La: 0.3694 0.0683 0.7386  2 La 3.14-3.23
La: 0.5000 0.5000 0.0000  4 La 3.22-3.23
Ho: 0.7863 0.7865 0.5722  8 La 3.51-3.60, 1 Ac 3.59
Ho: 0.2137 0.2135 0.4278  8 La 3.51-3.60, 1 Ac 3.59

Computed properties:
Spin magnetization, μB per formula unit: 0.00
Density, g/cm³: 6.735
Volume, A^3/atom: 37.703

***

Energy comparison, zero being the most stable, in meV/atom: i) 408; ii) 0.

***

i) VASP calculation (GGA-PBE) on a geometry-optimized Ac2La5Ho structure.

a = 5.3521 Å, b = 7.5085 Å, c = 15.0627 Å
α = 90.00°, β = 90.00°, γ = 90.00°
Last column: nearest neighbours and their distance in Å.
Fractional positions:
Ac: 0.5000 0.2464 0.6239  10 La 3.74-3.80, 2 Ho 3.75
Ac: 0.5000 0.7536 0.3761  10 La 3.74-3.80, 2 Ho 3.75
Ac: 0.5000 0.2536 0.1239  10 La 3.74-3.80, 2 Ho 3.75
Ac: 0.5000 0.7464 0.8761  10 La 3.74-3.80, 2 Ho 3.75
La: 0.0000 0.0000 0.0000  2 Ho 3.75, 6 La 3.76-3.79, 4 Ac 3.78
La: 0.0000 0.5000 0.5000  2 Ho 3.75, 6 La 3.76-3.79, 4 Ac 3.78
La: 0.0000 0.4967 0.7519  1 Ho 3.74, 7 La 3.75-3.80, 4 Ac 3.77-3.80
La: 0.0000 0.5033 0.2481  1 Ho 3.74, 7 La 3.75-3.80, 4 Ac 3.77-3.80
La: 0.0000 0.0033 0.2519  1 Ho 3.74, 7 La 3.75-3.80, 4 Ac 3.77-3.80
La: 0.0000 0.9967 0.7481  1 Ho 3.74, 7 La 3.75-3.80, 4 Ac 3.77-3.80
La: 0.5000 0.2485 0.8757  4 Ac 3.74-3.79, 6 La 3.76-3.80, 2 Ho 3.77
La: 0.5000 0.7515 0.1243  4 Ac 3.74-3.79, 6 La 3.76-3.80, 2 Ho 3.77
La: 0.5000 0.2515 0.3757  4 Ac 3.74-3.79, 6 La 3.76-3.80, 2 Ho 3.77
La: 0.5000 0.7485 0.6243  4 Ac 3.74-3.79, 6 La 3.76-3.80, 2 Ho 3.77
Ho: 0.0000 0.0000 0.5000  8 La 3.74-3.77, 4 Ac 3.75
Ho: 0.0000 0.5000 0.0000  8 La 3.74-3.77, 4 Ac 3.75

Computed properties:
Spin magnetization, μB per formula unit: 0.05
Density, g/cm³: 7.206
Volume, A^3/atom: 37.832

***

ii) VASP calculation (GGA-PBE) on a geometry-optimized Ac2La5Ho structure.

a = 3.7099 Å, b = 7.2252 Å, c = 12.1273 Å
α = 107.33°, β = 98.80°, γ = 90.00°
Last column: nearest neighbours and their distance in Å.
Fractional positions:
Ac: 0.2415 0.7415 0.4830  6 Ac 3.71-4.08, 6 La 3.78-3.90
Ac: 0.7585 0.2585 0.5170  6 Ac 3.71-4.08, 6 La 3.78-3.90
La: 0.0000 0.5000 0.0000  2 Ho 3.61, 10 La 3.66-3.71
La: 0.6137 0.3659 0.2274  6 La 3.58-3.71, 2 Ho 3.68, 3 Ac 3.78-3.90
La: 0.3863 0.6341 0.7726  6 La 3.58-3.71, 2 Ho 3.68, 3 Ac 3.78-3.90
La: 0.6137 0.8615 0.2274  6 La 3.58-3.71, 2 Ho 3.68, 3 Ac 3.78-3.90
La: 0.3863 0.1385 0.7726  6 La 3.58-3.71, 2 Ho 3.68, 3 Ac 3.78-3.90
Ho: 0.0000 0.0000 0.0000  10 La 3.61-3.68, 2 Ho 3.71

Computed properties:
Spin magnetization, μB per formula unit: 0.00
Density, g/cm³: 7.121
Volume, A^3/atom: 38.287

***

Energy comparison, zero being the most stable, in meV/atom: i) 0; ii) 54.

***

i) VASP calculation (GGA-PBE) on a geometry-optimized AcLa2Ho2 structure.

a = 3.7538 Å, b = 8.0668 Å, c = 12.6556 Å
α = 90.00°, β = 90.00°, γ = 103.45°
Last column: nearest neighbours and their distance in Å.
Fractional positions:
Ac: 0.6264 0.2527 0.9615  4 Ho 3.57-3.72, 2 Ac 3.75, 2 La 3.91
Ac: 0.3736 0.7473 0.4615  4 Ho 3.57-3.72, 2 Ac 3.75, 2 La 3.91
La: 0.9856 0.9711 0.2005  4 Ho 3.33-3.70
La: 0.2962 0.5924 0.7914  5 Ho 3.45-3.76, 2 La 3.75
La: 0.0144 0.0289 0.7005  4 Ho 3.33-3.70
La: 0.7038 0.4076 0.2914  5 Ho 3.45-3.76, 2 La 3.75
Ho: 0.3034 0.6069 0.0886  2 Ho 3.33, 4 La 3.54-3.70, 2 Ac 3.72
Ho: 0.9336 0.8672 0.9434  4 La 3.33-3.45, 2 Ho 3.33, 2 Ac 3.57
Ho: 0.6966 0.3931 0.5886  2 Ho 3.33, 4 La 3.54-3.70, 2 Ac 3.72
Ho: 0.0664 0.1328 0.4434  4 La 3.33-3.45, 2 Ho 3.33, 2 Ac 3.57

Computed properties:
Spin magnetization, μB per formula unit: 0.00
Density, g/cm³: 7.437
Volume, A^3/atom: 37.271

***

ii) VASP calculation (GGA-PBE) on a geometry-optimized AcLa2Ho2 structure.

a = 4.7726 Å, b = 4.7726 Å, c = 8.8811 Å
α = 105.59°, β = 105.59°, γ = 90.00°
Last column: nearest neighbours and their distance in Å.
Fractional positions:
Ac: 0.0000 0.0000 0.0000  8 La 3.72
La: 0.4049 0.4049 0.8098  1 La 3.12, 4 Ho 3.49
La: 0.5951 0.5951 0.1902  1 La 3.12, 4 Ho 3.49
Ho: 0.7500 0.2500 0.5000  4 Ho 3.37, 4 La 3.49
Ho: 0.2500 0.7500 0.5000  4 Ho 3.37, 4 La 3.49

Computed properties:
Spin magnetization, μB per formula unit: 0.00
Density, g/cm³: 7.407
Volume, A^3/atom: 37.423

***

Energy comparison, zero being the most stable, in meV/atom: i) 0; ii) 173.

***

i) VASP calculation (GGA-PBE) on a geometry-optimized Ac6La2Ho structure.

a = 3.8965 Å, b = 3.8965 Å, c = 28.9622 Å
α = 90.00°, β = 90.00°, γ = 120.00°
Last column: nearest neighbours and their distance in Å.
Fractional positions:
Ac: 0.6667 0.3333 0.8977  3 Ho 3.72, 9 Ac 3.90-4.01
Ac: 0.3333 0.6667 0.4348  7 Ac 3.78-3.90, 3 La 3.83
Ac: 0.3333 0.6667 0.7830  9 Ac 3.90-4.01, 3 La 3.92
Ac: 0.3333 0.6667 0.2170  9 Ac 3.90-4.01, 3 La 3.92
Ac: 0.3333 0.6667 0.5652  7 Ac 3.78-3.90, 3 La 3.83
Ac: 0.6667 0.3333 0.1023  3 Ho 3.72, 9 Ac 3.90-4.01
La: 0.6667 0.3333 0.3278  6 Ac 3.83-3.92, 6 La 3.90
La: 0.6667 0.3333 0.6722  6 Ac 3.83-3.92, 6 La 3.90
Ho: 0.3333 0.6667 0.0000  6 Ac 3.72, 6 Ho 3.90

Computed properties:
Spin magnetization, μB per formula unit: 0.00
Density, g/cm³: 7.870
Volume, A^3/atom: 42.313

***

ii) VASP calculation (GGA-PBE) on a geometry-optimized Ac6La2Ho structure.

a = 10.3348 Å, b = 6.7752 Å, c = 10.8046 Å
α = 91.19°, β = 90.00°, γ = 90.00°
Last column: nearest neighbours and their distance in Å.
Fractional positions:
Ac: 0.2913 0.3576 0.6498  3 La 3.64-4.02, 6 Ac 3.87-4.05
Ac: 0.3777 0.3492 0.2957  2 La 3.46-3.54, 1 Ho 3.60
Ac: 0.1528 0.3534 0.9835  1 Ho 3.73, 8 Ac 3.74-4.10, 1 La 3.92
Ac: 0.6528 0.1466 0.5165  1 Ho 3.73, 8 Ac 3.74-4.10, 1 La 3.92
Ac: 0.8777 0.1508 0.2043  2 La 3.46-3.54, 1 Ho 3.60
Ac: 0.7913 0.1424 0.8502  3 La 3.64-4.02, 6 Ac 3.87-4.05
Ac: 0.7087 0.6424 0.3502  3 La 3.64-4.02, 6 Ac 3.87-4.05
Ac: 0.6223 0.6508 0.7043  2 La 3.46-3.54, 1 Ho 3.60
Ac: 0.8472 0.6466 0.0165  1 Ho 3.73, 8 Ac 3.74-4.10, 1 La 3.92
Ac: 0.3472 0.8534 0.4835  1 Ho 3.73, 8 Ac 3.74-4.10, 1 La 3.92
Ac: 0.1223 0.8492 0.7957  2 La 3.46-3.54, 1 Ho 3.60
Ac: 0.2087 0.8576 0.1498  3 La 3.64-4.02, 6 Ac 3.87-4.05
La: 0.5670 0.9903 0.1363  1 La 3.26, 3 Ac 3.46-3.64
La: 0.0670 0.5097 0.3637  1 La 3.26, 3 Ac 3.46-3.64
La: 0.9330 0.4903 0.6363  1 La 3.26, 3 Ac 3.46-3.64
La: 0.4330 0.0097 0.8637  1 La 3.26, 3 Ac 3.46-3.64
Ho: 0.5000 0.5000 0.0000  4 Ac 3.60-3.73, 4 La 3.67-3.85
Ho: 0.0000 0.0000 0.5000  4 Ac 3.60-3.73, 4 La 3.67-3.85

Computed properties:
Spin magnetization, μB per formula unit: 0.00
Density, g/cm³: 7.924
Volume, A^3/atom: 42.021

***

Energy comparison, zero being the most stable, in meV/atom: i) 0; ii) 47.

***

i) VASP calculation (GGA-PBE) on a geometry-optimized Ac12La5Ho2 structure.

a = 7.7539 Å, b = 10.6626 Å, c = 10.9424 Å
α = 73.32°, β = 90.00°, γ = 111.32°
Last column: nearest neighbours and their distance in Å.
Fractional positions:
Ac: 0.9690 0.9381 0.2305  2 La 3.19-3.38, 2 Ho 3.35
Ac: 0.0843 0.6834 0.8893  6 Ac 3.70-4.04, 1 Ho 3.73, 3 La 3.86-4.07
Ac: 0.5991 0.6834 0.8893  6 Ac 3.70-4.04, 1 Ho 3.73, 3 La 3.86-4.07
Ac: 0.0848 0.6719 0.5364  4 La 3.70-4.08, 6 Ac 3.74-4.06
Ac: 0.5870 0.6719 0.5364  4 La 3.70-4.08, 6 Ac 3.74-4.06
Ac: 0.4990 0.9979 0.6814  7 Ac 3.81-4.09, 2 Ho 3.82, 1 La 3.83
Ac: 0.5010 0.0021 0.3186  7 Ac 3.81-4.09, 2 Ho 3.82, 1 La 3.83
Ac: 0.9152 0.3281 0.4636  4 La 3.70-4.08, 6 Ac 3.74-4.06
Ac: 0.4130 0.3281 0.4636  4 La 3.70-4.08, 6 Ac 3.74-4.06
Ac: 0.9157 0.3166 0.1107  6 Ac 3.70-4.04, 1 Ho 3.73, 3 La 3.86-4.07
Ac: 0.4009 0.3166 0.1107  6 Ac 3.70-4.04, 1 Ho 3.73, 3 La 3.86-4.07
Ac: 0.0310 0.0619 0.7695  2 La 3.19-3.38, 2 Ho 3.35
La: 0.1976 0.3953 0.7884  3 Ac 3.38-3.78
La: 0.3330 0.6659 0.2176  2 Ho 3.77, 7 Ac 3.83-4.08, 2 La 3.93
La: 0.0000 0.0000 0.5000  2 Ac 3.19
La: 0.6670 0.3341 0.7824  2 Ho 3.77, 7 Ac 3.83-4.08, 2 La 3.93
La: 0.8024 0.6047 0.2116  3 Ac 3.38-3.78
Ho: 0.6999 0.0000 0.0000  1 Ho 3.10, 2 Ac 3.35
Ho: 0.3001 0.0000 0.0000  1 Ho 3.10, 2 Ac 3.35

Computed properties:
Spin magnetization, μB per formula unit: 0.00
Density, g/cm³: 7.764
Volume, A^3/atom: 42.197

***

ii) VASP calculation (GGA-PBE) on a geometry-optimized Ac12La5Ho2 structure.

a = 6.7274 Å, b = 11.5003 Å, c = 11.5003 Å
α = 66.55°, β = 78.99°, γ = 78.99°
Last column: nearest neighbours and their distance in Å.
Fractional positions:
Ac: 0.0081 0.8906 0.8906  4 La 3.58-3.95, 2 Ho 3.67, 2 Ac 3.76
Ac: 0.2032 0.5456 0.0639  4 La 3.69-4.07, 1 Ho 3.70, 7 Ac 3.72-4.12
Ac: 0.2032 0.0639 0.5456  4 La 3.69-4.07, 1 Ho 3.70, 7 Ac 3.72-4.12
Ac: 0.6293 0.6475 0.1501  1 Ho 3.50, 3 La 3.70-3.90, 4 Ac 3.72-3.88
Ac: 0.6293 0.1501 0.6475  1 Ho 3.50, 3 La 3.70-3.90, 4 Ac 3.72-3.88
Ac: 0.2726 0.4418 0.4418  2 Ho 3.81, 6 Ac 3.83-4.18, 2 La 4.11-4.13
Ac: 0.7274 0.5582 0.5582  2 Ho 3.81, 6 Ac 3.83-4.18, 2 La 4.11-4.13
Ac: 0.3707 0.3525 0.8499  1 Ho 3.50, 3 La 3.70-3.90, 4 Ac 3.72-3.88
Ac: 0.3707 0.8499 0.3525  1 Ho 3.50, 3 La 3.70-3.90, 4 Ac 3.72-3.88
Ac: 0.7968 0.4544 0.9361  4 La 3.69-4.07, 1 Ho 3.70, 7 Ac 3.72-4.12
Ac: 0.7968 0.9361 0.4544  4 La 3.69-4.07, 1 Ho 3.70, 7 Ac 3.72-4.12
Ac: 0.9919 0.1094 0.1094  4 La 3.58-3.95, 2 Ho 3.67, 2 Ac 3.76
La: 0.4386 0.2118 0.2118  8 Ac 3.69-4.03, 3 La 3.80-4.00
La: 0.8576 0.3150 0.3150  9 Ac 3.70-4.13, 2 La 3.80-3.96
La: 0.5000 0.0000 0.0000  6 Ac 3.58-3.72, 2 La 4.00
La: 0.1424 0.6850 0.6850  9 Ac 3.70-4.13, 2 La 3.80-3.96
La: 0.5614 0.7882 0.7882  8 Ac 3.69-4.03, 3 La 3.80-4.00
Ho: 0.0000 0.2389 0.7611  8 Ac 3.50-3.81
Ho: 0.0000 0.7611 0.2389  8 Ac 3.50-3.81

Computed properties:
Spin magnetization, μB per formula unit: 0.00
Density, g/cm³: 7.833
Volume, A^3/atom: 41.824

***

Energy comparison, zero being the most stable, in meV/atom: i) 73; ii) 0.